No. 1
A geometry-optimized KCdPbAu3 structure. Source: Alexandria via LeMat-Bulk, functional PBE.

Unit cell a=8.502 b=8.502 c=6.735 alpha=97.83 beta=97.83 gamma=134.48
Fractional positions:
K  0.205  0.795  0.750
K  0.795  0.205  0.250
Cd  0.468  0.532  0.750
Cd  0.532  0.468  0.250
Pb  0.029  0.971  0.250
Pb  0.971  0.029  0.750
Au  0.216  0.784  0.250
Au  0.241  0.500  0.036
Au  0.500  0.241  0.536
Au  0.500  0.759  0.464
Au  0.759  0.500  0.964
Au  0.784  0.216  0.750

Summary:
Fermi-level density of states: 4.2 states/eV/cell
energy of formation from the pure elements: -0.1754 eV/atom
volume: 27.094 Å³/atom

=====

No. 2
A geometry-optimized Rb3Ho3NpS8 structure. Source: Alexandria via LeMat-Bulk, functional PBE.

Unit cell a=9.093 b=9.093 c=9.093 alpha=52.62 beta=52.62 gamma=52.62
Fractional positions:
Rb  0.000  0.500  0.500
Rb  0.500  0.000  0.500
Rb  0.500  0.500  0.000
Ho  0.000  0.000  0.500
Ho  0.000  0.500  0.000
Ho  0.500  0.000  0.000
Np  0.500  0.500  0.500
S  0.230  0.230  0.230
S  0.233  0.726  0.726
S  0.274  0.274  0.767
S  0.274  0.767  0.274
S  0.726  0.233  0.726
S  0.726  0.726  0.233
S  0.767  0.274  0.274
S  0.770  0.770  0.770

Summary:
Fermi-level density of states: 3.7 states/eV/cell
uncorrected formation energy: -1.7506 eV/atom
volume: 29.297 Å³/atom

=====

No. 3
A geometry-optimized CdBi3Pb4 structure. Source: Alexandria via LeMat-Bulk, functional PBE.

Unit cell a=3.513 b=5.349 c=13.947 alpha=100.34 beta=92.31 gamma=90.40
Fractional positions:
Cd  0.000  0.000  0.000
Bi  0.107  0.340  0.681
Bi  0.500  0.500  0.000
Bi  0.893  0.660  0.319
Pb  0.238  0.220  0.440
Pb  0.466  0.898  0.808
Pb  0.534  0.102  0.192
Pb  0.762  0.780  0.560

Summary:
Fermi-level density of states: 3.3 states/eV/cell
energy of formation from the pure elements: 0.0756 eV/atom
volume: 32.203 Å³/atom

=====

No. 4
A geometry-optimized Ni2GeP structure. Source: Alexandria via LeMat-Bulk, functional PBE.

Unit cell a=4.145 b=4.145 c=4.145 alpha=60.00 beta=60.00 gamma=60.00
Fractional positions:
Ni  0.250  0.250  0.250
Ni  0.750  0.750  0.750
Ge  0.000  0.000  0.000
P  0.500  0.500  0.500

Summary:
Fermi-level density of states: 3.5 states/eV/cell
energy of formation from the pure elements: -0.0214 eV/atom
volume: 12.586 Å³/atom

=====

Among the records above, which one has the lowest Fermi-level density of states?
CdBi3Pb4